A geometry-optimized RhAu4Se structure, computed with GGA-PBE.

Computed properties:
Energy in eV/atom: -3.520
Uncorrected formation energy in kJ/mol of formula units: 273
N(E_F) in states/eV/f.u.: 6.87
V in Å³/cell: 462.48

Lattice parameters (Å, degrees): 7.7333 7.7333 7.7333 90.00 90.00 90.00
Space group F-43m (No. 216)
Symmetry-distinct sites (fractional):
Rh 0.0000 0.0000 0.0000 x4
Au 0.1253 0.1253 0.3747 x16
Se 0.2500 0.2500 0.7500 x4